La2AlSi | Alexandria via LeMat-Bulk | PBEsol | relaxed; ΔE_f (raw) = -0.55 eV/atom; theoretical density = 5.66 g cm⁻³
1.0
-1.980 2.373 5.194
1.980 -2.373 5.194
1.980 2.373 -5.194
La Al Si
2 1 1
direct
0.000 0.000 0.000
0.718 0.218 0.500
0.435 0.435 0.000
0.281 0.781 0.500



AlZn2Cl | Alexandria via LeMat-Bulk | PBEsol | relaxed; offset from the most stable computed form = 259 meV per atom; ΔE_f (raw) = 0.13 eV/atom; theoretical density = 4.19 g cm⁻³
1.0
3.763 0.000 0.000
0.000 3.763 0.000
0.000 0.000 5.407
Al Zn Cl
1 2 1
direct
0.000 0.000 0.000
0.000 0.500 0.500
0.500 0.000 0.500
0.500 0.500 0.000